i:
Material: TlCdN2
Method: DFT, meta-GGA SCAN
State: single point on PBEsol structure

Geometry as POSCAR:
```
TlCdN2
1.0
0.000 2.997 2.997
2.997 0.000 2.997
2.997 2.997 0.000
Tl Cd N
1 1 2
direct
0.000 0.000 0.000
0.500 0.500 0.500
0.250 0.250 0.250
0.750 0.750 0.750
```

Computed properties:
V (Å³/cell): 54
SG: Fm-3m
D(E_F) (states/eV/f.u.): 1.5

***

ii:
Material: TlCdN2
Method: DFT, meta-GGA SCAN
State: single point on PBEsol structure

Geometry as POSCAR:
```
TlCdN2
1.0
1.778 1.026 6.172
-1.778 1.026 6.172
0.000 -2.053 6.172
Tl Cd N
1 1 2
direct
0.000 0.000 0.000
0.500 0.500 0.500
0.109 0.109 0.109
0.891 0.891 0.891
```

Computed properties:
V (Å³/cell): 68
SG: R-3m
D(E_F) (states/eV/f.u.): 2.1

***

Which of them is most stable? Easy: ii.

***

i:
Material: NaCdP2O
Method: DFT, meta-GGA SCAN
State: single point on PBEsol structure

Geometry as POSCAR:
```
NaCdP2O
1.0
4.884 0.000 0.000
0.000 4.884 0.000
0.000 0.000 3.966
Na Cd P O
1 1 2 1
direct
0.000 0.000 0.000
0.500 0.500 0.500
0.000 0.500 0.000
0.500 0.000 0.000
0.000 0.000 0.500
```

Computed properties:
V (Å³/cell): 95
SG: P4/mmm
D(E_F) (states/eV/f.u.): 2.8

***

ii:
Material: NaCdP2O
Method: DFT, meta-GGA SCAN
State: single point on PBEsol structure

Geometry as POSCAR:
```
NaCdP2O
1.0
5.028 0.000 0.000
0.000 5.028 0.000
0.000 0.000 4.192
Na Cd P O
1 1 2 1
direct
0.000 0.000 0.000
0.500 0.500 0.500
0.000 0.500 0.500
0.500 0.000 0.500
0.500 0.500 0.000
```

Computed properties:
V (Å³/cell): 106
SG: P4/mmm
D(E_F) (states/eV/f.u.): 2.7

***

Which of them is most stable? Easy: ii.

***

i:
Material: NaCd2Sn2
Method: DFT, meta-GGA SCAN
State: single point on PBEsol structure

Geometry as POSCAR:
```
NaCd2Sn2
1.0
8.483 0.000 0.000
0.000 8.483 0.000
0.000 0.000 3.545
Na Cd Sn
2 4 4
direct
0.000 0.000 0.000
0.500 0.500 0.000
0.156 0.344 0.500
0.344 0.844 0.500
0.656 0.156 0.500
0.844 0.656 0.500
0.141 0.641 0.000
0.359 0.141 0.000
0.641 0.859 0.000
0.859 0.359 0.000
```

Computed properties:
V (Å³/cell): 255
SG: P4/mbm
D(E_F) (states/eV/f.u.): 2.0

***

ii:
Material: NaCd2Sn2
Method: DFT, meta-GGA SCAN
State: single point on PBEsol structure

Geometry as POSCAR:
```
NaCd2Sn2
1.0
-2.329 2.329 6.181
2.329 -2.329 6.181
2.329 2.329 -6.181
Na Cd Sn
1 2 2
direct
0.000 0.000 0.000
0.250 0.750 0.500
0.750 0.250 0.500
0.387 0.387 0.000
0.613 0.613 0.000
```

Computed properties:
V (Å³/cell): 134
SG: I4/mmm
D(E_F) (states/eV/f.u.): 0.9

***

Which of them is most stable? Easy: ii.

***

i:
Material: Cd5Ni
Method: DFT, meta-GGA SCAN
State: single point on PBEsol structure

Geometry as POSCAR:
```
Cd5Ni
1.0
3.093 0.000 0.000
0.000 3.093 0.000
0.000 0.000 11.631
Cd Ni
5 1
direct
0.000 0.000 0.000
0.000 0.000 0.368
0.000 0.000 0.632
0.500 0.500 0.184
0.500 0.500 0.816
0.500 0.500 0.500
```

Computed properties:
V (Å³/cell): 111
SG: P4/mmm
D(E_F) (states/eV/f.u.): 1.8

***

ii:
Material: Cd5Ni
Method: DFT, meta-GGA SCAN
State: single point on PBEsol structure

Geometry as POSCAR:
```
Cd5Ni
1.0
2.100 -6.207 0.000
2.100 6.207 0.000
0.000 0.000 4.192
Cd Ni
5 1
direct
0.000 0.000 0.000
0.159 0.841 0.500
0.342 0.658 0.000
0.658 0.342 0.000
0.841 0.159 0.500
0.500 0.500 0.500
```

Computed properties:
V (Å³/cell): 109
SG: Cmmm
D(E_F) (states/eV/f.u.): 1.9

***

iii:
Material: Cd5Ni
Method: DFT, meta-GGA SCAN
State: single point on PBEsol structure

Geometry as POSCAR:
```
Cd5Ni
1.0
5.206 0.000 0.000
-2.603 4.509 0.000
0.000 0.000 4.660
Cd Ni
5 1
direct
0.000 0.684 0.000
0.316 0.316 0.000
0.333 0.667 0.500
0.667 0.333 0.500
0.684 0.000 0.000
0.000 0.000 0.500
```

Computed properties:
V (Å³/cell): 109
SG: P-62m
D(E_F) (states/eV/f.u.): 2.1

***

Which of them is most stable? Easy: i.

***

i:
Material: Cd2NiPb
Method: DFT, meta-GGA SCAN
State: single point on PBEsol structure

Geometry as POSCAR:
```
Cd2NiPb
1.0
0.000 3.427 3.427
3.427 0.000 3.427
3.427 3.427 0.000
Cd Ni Pb
2 1 1
direct
0.250 0.250 0.250
0.750 0.750 0.750
0.000 0.000 0.000
0.500 0.500 0.500
```

Computed properties:
V (Å³/cell): 80
SG: Fm-3m
D(E_F) (states/eV/f.u.): 1.8

***

ii:
Material: Cd2NiPb
Method: DFT, meta-GGA SCAN
State: single point on PBEsol structure

Geometry as POSCAR:
```
Cd2NiPb
1.0
-1.506 2.181 6.370
1.506 -2.181 6.370
1.506 2.181 -6.370
Cd Ni Pb
2 1 1
direct
0.000 0.000 0.000
0.664 0.164 0.500
0.174 0.674 0.500
0.354 0.354 0.000
```

Computed properties:
V (Å³/cell): 84
SG: Imm2
D(E_F) (states/eV/f.u.): 2.2

***

iii:
Material: Cd2NiPb
Method: DFT, meta-GGA SCAN
State: single point on PBEsol structure

Geometry as POSCAR:
```
Cd2NiPb
1.0
1.595 0.921 9.308
-1.595 0.921 9.308
0.000 -1.842 9.308
Cd Ni Pb
2 1 1
direct
0.233 0.233 0.233
0.767 0.767 0.767
0.500 0.500 0.500
0.000 0.000 0.000
```

Computed properties:
V (Å³/cell): 82
SG: R-3m
D(E_F) (states/eV/f.u.): 1.7

***

Which of them is most stable? Easy: ii.

***

i:
Material: Cd2ReNi
Method: DFT, meta-GGA SCAN
State: single point on PBEsol structure

Geometry as POSCAR:
```
Cd2ReNi
1.0
2.801 0.000 0.000
0.000 2.801 0.000
0.000 0.000 8.040
Cd Re Ni
2 1 1
direct
0.000 0.000 0.000
0.500 0.500 0.303
0.500 0.500 0.729
0.000 0.000 0.540
```

Computed properties:
V (Å³/cell): 63
SG: P4mm
D(E_F) (states/eV/f.u.): 2.2

***

ii:
Material: Cd2ReNi
Method: DFT, meta-GGA SCAN
State: single point on PBEsol structure

Geometry as POSCAR:
```
Cd2ReNi
1.0
2.725 0.000 0.000
0.000 2.725 0.000
0.000 0.000 8.360
Cd Re Ni
2 1 1
direct
0.000 0.000 0.228
0.000 0.000 0.772
0.500 0.500 0.500
0.500 0.500 0.000
```

Computed properties:
V (Å³/cell): 62
SG: P4/mmm
D(E_F) (states/eV/f.u.): 2.3

***

Which of them is most stable? Easy: i.

***

i:
Material: Tl2CdNi
Method: DFT, meta-GGA SCAN
State: single point on PBEsol structure

Geometry as POSCAR:
```
Tl2CdNi
1.0
3.158 0.000 0.000
0.000 3.158 0.000
0.000 0.000 8.444
Tl Cd Ni
2 1 1
direct
0.000 0.000 0.000
0.500 0.500 0.329
0.500 0.500 0.704
0.000 0.000 0.526
```

Computed properties:
V (Å³/cell): 84
SG: P4mm
D(E_F) (states/eV/f.u.): 2.2

***

ii:
Material: Tl2CdNi
Method: DFT, meta-GGA SCAN
State: single point on PBEsol structure

Geometry as POSCAR:
```
Tl2CdNi
1.0
-1.492 2.212 6.657
1.492 -2.212 6.657
1.492 2.212 -6.657
Tl Cd Ni
2 1 1
direct
0.174 0.174 0.000
0.826 0.826 0.000
0.500 0.000 0.500
0.000 0.500 0.500
```

Computed properties:
V (Å³/cell): 88
SG: Immm
D(E_F) (states/eV/f.u.): 2.1

***

Which of them is most stable? Easy: ii.

***

i:
Material: Cd2NiW
Method: DFT, meta-GGA SCAN
State: single point on PBEsol structure

Geometry as POSCAR:
```
Cd2NiW
1.0
1.412 0.815 9.465
-1.412 0.815 9.465
0.000 -1.631 9.465
Cd Ni W
2 1 1
direct
0.000 0.000 0.000
0.236 0.236 0.236
0.491 0.491 0.491
0.756 0.756 0.756
```

Computed properties:
V (Å³/cell): 65
SG: R3m
D(E_F) (states/eV/f.u.): 3.1

***

ii:
Material: Cd2NiW
Method: DFT, meta-GGA SCAN
State: single point on PBEsol structure

Geometry as POSCAR:
```
Cd2NiW
1.0
-1.383 2.356 4.870
1.383 -2.356 4.870
1.383 2.356 -4.870
Cd Ni W
2 1 1
direct
0.225 0.225 0.000
0.775 0.775 0.000
0.000 0.500 0.500
0.500 0.000 0.500
```

Computed properties:
V (Å³/cell): 63
SG: Immm
D(E_F) (states/eV/f.u.): 2.7

***

Which of them is most stable? Easy: i.